1.
BaLi3Al2, relaxed, DFT PBE-GGA; SG = No. 63; E_form = -106 meV/atom
1.0
5.4987 -4.6755 0.0000
5.4987 4.6755 0.0000
0.0000 0.0000 5.5722
Ba Li Al
2 6 4
direct
0.1765 0.8235 0.7500
0.8235 0.1765 0.2500
0.0395 0.5619 0.2500
0.4381 0.9605 0.2500
0.4531 0.5469 0.2500
0.5469 0.4531 0.7500
0.5619 0.0395 0.7500
0.9605 0.4381 0.7500
0.2818 0.2818 0.0000
0.2818 0.2818 0.5000
0.7182 0.7182 0.0000
0.7182 0.7182 0.5000

2.
MnVSb2, relaxed, DFT PBE-GGA; ΔE to the lowest computed polymorph = 0.66 eV/f.u.; SG = No. 122; ΔE_f (raw) = 419 meV per atom
1.0
-3.7265 3.7265 3.1299
3.7265 -3.7265 3.1299
3.7265 3.7265 -3.1299
Mn V Sb
2 2 4
direct
0.0000 0.0000 0.0000
0.7500 0.2500 0.5000
0.2500 0.7500 0.5000
0.5000 0.5000 0.0000
0.1206 0.1250 0.4956
0.3750 0.8794 0.0044
0.6294 0.6250 0.5044
0.8750 0.3706 0.9956

| no. | total magnetic moment (μB/cell) |
| --- | --- |
| 1 | 0.193 |
| 2 | 12.301 |